No. 1
Entry from the Alexandria database: a relaxed structure of AcMg2Ga2Au2 (PBE).

a = 4.5317 Å, b = 4.5317 Å, c = 9.0724 Å
α = 75.54°, β = 75.54°, γ = 60.00°
Positions (direct):
Ac1 0.0000 0.0000 0.0000
Mg1 0.1377 0.1377 0.5868
Mg2 0.8623 0.8623 0.4132
Ga1 0.7466 0.7466 0.7601
Ga2 0.2534 0.2534 0.2399
Au1 0.5694 0.5694 0.2918
Au2 0.4306 0.4306 0.7082

Properties
DOS at the Fermi energy in states/eV per atom: 0.44
Formation energy from the elements in eV/atom: -0.551

***

No. 2
Entry from the Alexandria database: a relaxed structure of GaOs2Rh (PBE).

a = 5.6530 Å, b = 5.6530 Å, c = 6.7386 Å
α = 65.20°, β = 65.20°, γ = 90.00°
Positions (direct):
Rh1 0.0000 0.0000 0.0000
Rh2 0.7500 0.2500 0.5000
Os1 0.6382 0.1250 0.2500
Os2 0.1118 0.6250 0.2500
Os3 0.3750 0.3618 0.7500
Os4 0.8750 0.8882 0.7500
Ga1 0.5000 0.5000 0.0000
Ga2 0.2500 0.7500 0.5000

Properties
DOS at the Fermi energy in states/eV per atom: 0.56
Formation energy from the elements in eV/atom: 1.408

***

No. 3
Entry from the Alexandria database: a relaxed structure of Sr2TaW (PBE).

a = 4.7083 Å, b = 4.7083 Å, c = 8.8236 Å
α = 86.64°, β = 86.64°, γ = 41.74°
Positions (direct):
Sr1 0.9847 0.9847 0.0809
Sr2 0.7615 0.7615 0.6705
Ta1 0.5150 0.5150 0.4083
W1 0.2388 0.2388 0.3404

Properties
Energy above the lowest structure with this stoichiometry in kJ per mole of atoms: 24.1
DOS at the Fermi energy in states/eV per atom: 1.05
Formation energy from the elements in eV/atom: 0.804

***

No. 4
Entry from the Alexandria database: a relaxed structure of Np2Co3P4Os (PBE).

a = 3.9638 Å, b = 3.9638 Å, c = 9.1222 Å
α = 90.00°, β = 90.00°, γ = 90.00°
Positions (direct):
Np1 0.5000 0.0000 0.2387
Np2 0.0000 0.5000 0.7613
Co1 0.0000 0.0000 0.5000
Co2 0.5000 0.0000 0.8891
Co3 0.0000 0.5000 0.1109
P1 0.5000 0.5000 0.0000
P2 0.0000 0.0000 0.0000
P3 0.5000 0.0000 0.6427
P4 0.0000 0.5000 0.3573
Os1 0.5000 0.5000 0.5000

Properties
DOS at the Fermi energy in states/eV per atom: 2.25
Formation energy from the elements in eV/atom: -0.700

***

No. 5
Entry from the Alexandria database: a relaxed structure of TcPSe3 (PBE).

a = 4.8300 Å, b = 4.8300 Å, c = 4.8300 Å
α = 90.00°, β = 90.00°, γ = 90.00°
Positions (direct):
P1 0.5000 0.5000 0.5000
Tc1 0.0000 0.0000 0.0000
Se1 0.0000 0.5000 0.0000
Se2 0.0000 0.0000 0.5000
Se3 0.5000 0.0000 0.0000

Properties
Formation energy from raw total energies in eV per atom: 0.74
Energy above the lowest structure with this stoichiometry in kJ per mole of atoms: 0.0
DOS at the Fermi energy in states/eV per atom: 1.06

***

No. 6
Entry from the Alexandria database: a relaxed structure of Be2TcCl (PBE).

a = 2.8402 Å, b = 2.8402 Å, c = 7.0750 Å
α = 90.00°, β = 90.00°, γ = 113.53°
Positions (direct):
Be1 0.0000 0.0000 0.9876
Be2 0.0000 0.0000 0.5124
Tc1 0.5000 0.5000 0.7500
Cl1 0.5000 0.5000 0.2500

Properties
Formation energy from raw total energies in eV per atom: 0.20
Energy above the lowest structure with this stoichiometry in kJ per mole of atoms: 7.5
DOS at the Fermi energy in states/eV per atom: 0.20